No. 1
Compound: H2RuPb
Source: the Alexandria database
Functional: meta-GGA SCAN
Structure: single point on PBEsol structure

```
H2RuPb
1.0
-1.440 -1.324 3.462
2.238 -2.323 2.326
1.443 1.415 3.425
Ru Pb H
1 1 2
Direct
0.000 0.000 0.000
0.500 0.500 0.500
0.250 0.250 0.250
0.750 0.750 0.750
```

Calculated values
* SG: Fm-3m
* density: 11.586 g/cm³
* M_tot: 0.0 Bohr magnetons per cell
* VASP energy: -112.7 eV for the cell shown


No. 2
Compound: SbH2Pb
Source: the Alexandria database
Functional: meta-GGA SCAN
Structure: single point on PBEsol structure

```
SbH2Pb
1.0
4.450 0.000 0.000
0.000 4.450 0.000
-2.225 -2.225 6.864
H Pb Sb
4 2 2
Direct
0.625 0.536 0.750
0.125 0.214 0.750
0.786 0.375 0.250
0.464 0.875 0.250
0.250 0.750 0.500
0.000 0.000 0.000
0.500 0.500 0.000
0.750 0.250 0.500
```

Calculated values
* SG: I-42d
* density: 8.086 g/cm³
* M_tot: 0.0 Bohr magnetons per cell
* VASP energy: -235.7 eV for the cell shown


No. 3
Compound: SbH3Pb
Source: the Alexandria database
Functional: meta-GGA SCAN
Structure: single point on PBEsol structure

```
SbH3Pb
1.0
4.152 0.000 0.000
0.000 4.152 0.000
0.000 0.000 4.152
H Sb Pb
3 1 1
Direct
0.000 0.000 0.500
0.000 0.500 0.000
0.500 0.000 0.000
0.500 0.500 0.500
0.000 0.000 0.000
```

Calculated values
* SG: Pm-3m
* density: 7.703 g/cm³
* M_tot: 0.0 Bohr magnetons per cell
* VASP energy: -119.0 eV for the cell shown


No. 4
Compound: SbH2Pb
Source: the Alexandria database
Functional: meta-GGA SCAN
Structure: single point on PBEsol structure

```
SbH2Pb
1.0
-3.525 -1.171 -2.408
0.544 -1.553 -4.109
-0.766 -4.272 -0.871
Pb Sb H
1 1 2
Direct
0.500 0.500 0.500
0.000 0.000 0.000
0.250 0.250 0.250
0.750 0.750 0.750
```

Calculated values
* SG: Fm-3m
* density: 8.963 g/cm³
* M_tot: 0.0 Bohr magnetons per cell
* VASP energy: -117.0 eV for the cell shown


No. 5
Compound: ScHPb
Source: the Alexandria database
Functional: meta-GGA SCAN
Structure: single point on PBEsol structure

```
ScHPb
1.0
3.411 0.000 0.000
-1.706 2.954 0.000
0.000 0.000 4.878
Pb H Sc
1 1 1
Direct
0.000 0.000 0.000
0.667 0.333 0.500
0.333 0.667 0.500
```

Calculated values
* SG: P-6m2
* density: 8.553 g/cm³
* M_tot: 0.0 Bohr magnetons per cell
* VASP energy: -95.3 eV for the cell shown


No. 6
Compound: Sc2H2Pb
Source: the Alexandria database
Functional: meta-GGA SCAN
Structure: single point on PBEsol structure

```
Sc2H2Pb
1.0
-3.092 -1.864 0.914
-0.872 -0.323 -3.606
4.498 -3.192 1.122
H Sc Pb
2 2 1
Direct
0.750 0.250 0.500
0.250 0.750 0.500
0.341 0.341 0.681
0.659 0.659 0.319
0.000 0.000 0.000
```

Calculated values
* SG: I4/mmm
* density: 7.200 g/cm³
* M_tot: 0.0 Bohr magnetons per cell
* VASP energy: -114.8 eV for the cell shown


No. 7
Compound: Sc2HPbSe
Source: the Alexandria database
Functional: meta-GGA SCAN
Structure: single point on PBEsol structure

```
Sc2HPbSe
1.0
-2.681 -4.017 0.685
4.068 -2.590 0.731
-0.187 0.765 3.755
Sc Se H Pb
2 1 1 1
Direct
0.000 0.500 0.000
0.500 0.000 0.000
0.500 0.500 0.500
0.000 0.000 0.000
0.000 0.000 0.500
```

Calculated values
* SG: P4/mmm
* density: 6.859 g/cm³
* M_tot: 1.1 Bohr magnetons per cell
* VASP energy: -129.4 eV for the cell shown


No. 8
Compound: ScSiHPb2
Source: the Alexandria database
Functional: meta-GGA SCAN
Structure: single point on PBEsol structure

```
ScSiHPb2
1.0
5.016 0.000 0.000
0.000 5.541 0.000
0.000 0.000 5.541
Sc Pb H Si
1 2 1 1
Direct
0.000 0.000 0.000
0.000 0.000 0.500
0.000 0.500 0.000
0.500 0.500 0.500
0.500 0.000 0.000
```

Calculated values
* SG: P4/mmm
* density: 5.267 g/cm³
* M_tot: 1.0 Bohr magnetons per cell
* VASP energy: -174.6 eV for the cell shown


What did the fourth record say?
Compound: SbH2Pb
Source: the Alexandria database
Functional: meta-GGA SCAN
Structure: single point on PBEsol structure

```
SbH2Pb
1.0
-3.525 -1.171 -2.408
0.544 -1.553 -4.109
-0.766 -4.272 -0.871
Pb Sb H
1 1 2
Direct
0.500 0.500 0.500
0.000 0.000 0.000
0.250 0.250 0.250
0.750 0.750 0.750
```

Calculated values
* SG: Fm-3m
* density: 8.963 g/cm³
* M_tot: 0.0 Bohr magnetons per cell
* VASP energy: -117.0 eV for the cell shown